[1]
# Ta2AlSi | Alexandria via LeMat-Bulk | GGA-PBEsol | relaxed
data_Ta2AlSi
_chemical_formula_sum 'Ta2 Al1 Si1'
_space_group_name_H-M_alt 'P 1'
_space_group_IT_number 1
_space_group_name_Hall 'P 1'
_cell_length_a 2.7996
_cell_length_b 4.8747
_cell_length_c 4.8747
_cell_angle_alpha 109.85
_cell_angle_beta 90.00
_cell_angle_gamma 90.00
loop_
_atom_site_label
_atom_site_type_symbol
_atom_site_fract_x
_atom_site_fract_y
_atom_site_fract_z
Al1 Al 0.5000 0.0000 0.0000
Si1 Si 0.5000 0.5000 0.5000
Ta1 Ta 0.0000 0.5000 0.0000
Ta2 Ta 0.0000 0.0000 0.5000
# formation energy (no corrections) = -0.19 eV/atom
# Fermi-level density of states = 1.98 states/eV per cell

---

[2]
# Sr2RePb | Alexandria via LeMat-Bulk | GGA-PBEsol | relaxed
data_Sr2RePb
_chemical_formula_sum 'Sr2 Re1 Pb1'
_space_group_name_H-M_alt 'P 1'
_space_group_IT_number 1
_space_group_name_Hall 'P 1'
_cell_length_a 3.4412
_cell_length_b 3.4412
_cell_length_c 10.7243
_cell_angle_alpha 80.77
_cell_angle_beta 80.77
_cell_angle_gamma 60.00
loop_
_atom_site_label
_atom_site_type_symbol
_atom_site_fract_x
_atom_site_fract_y
_atom_site_fract_z
Sr1 Sr 0.7414 0.7414 0.7758
Sr2 Sr 0.2586 0.2586 0.2242
Re1 Re 0.0000 0.0000 0.0000
Pb1 Pb 0.5000 0.5000 0.5000
# formation enthalpy at 0 K = 0.78 eV per atom
# Fermi-level density of states = 2.90 states/eV per cell

---

[3]
# Zr2BrF | Alexandria via LeMat-Bulk | GGA-PBEsol | relaxed
data_Zr2BrF
_chemical_formula_sum 'Zr2 Br1 F1'
_space_group_name_H-M_alt 'P 1'
_space_group_IT_number 1
_space_group_name_Hall 'P 1'
_cell_length_a 4.5416
_cell_length_b 4.5416
_cell_length_c 4.5416
_cell_angle_alpha 60.00
_cell_angle_beta 60.00
_cell_angle_gamma 60.00
loop_
_atom_site_label
_atom_site_type_symbol
_atom_site_fract_x
_atom_site_fract_y
_atom_site_fract_z
Zr1 Zr 0.2500 0.2500 0.2500
Zr2 Zr 0.7500 0.7500 0.7500
F1 F 0.0000 0.0000 0.0000
Br1 Br 0.5000 0.5000 0.5000
# formation energy (no corrections) = -0.71 eV/atom
# Fermi-level density of states = 2.14 states/eV per cell

---

[4]
# BeCr3H | Alexandria via LeMat-Bulk | GGA-PBEsol | relaxed
data_BeCr3H
_chemical_formula_sum 'Be1 Cr3 H1'
_space_group_name_H-M_alt 'P 1'
_space_group_IT_number 1
_space_group_name_Hall 'P 1'
_cell_length_a 3.5392
_cell_length_b 3.5392
_cell_length_c 3.5392
_cell_angle_alpha 90.00
_cell_angle_beta 90.00
_cell_angle_gamma 90.00
loop_
_atom_site_label
_atom_site_type_symbol
_atom_site_fract_x
_atom_site_fract_y
_atom_site_fract_z
Be1 Be 0.5000 0.5000 0.5000
Cr1 Cr 0.0000 0.0000 0.5000
Cr2 Cr 0.5000 0.0000 0.0000
Cr3 Cr 0.0000 0.5000 0.0000
H1 H 0.0000 0.0000 0.0000
# electronic total energy = -37.39 eV for the cell shown
# Fermi-level density of states = 4.13 states/eV per cell

---

[5]
# Li2TlCr | Alexandria via LeMat-Bulk | GGA-PBEsol | relaxed
data_Li2TlCr
_chemical_formula_sum 'Li2 Tl1 Cr1'
_space_group_name_H-M_alt 'P 1'
_space_group_IT_number 1
_space_group_name_Hall 'P 1'
_cell_length_a 3.9822
_cell_length_b 3.9822
_cell_length_c 4.4567
_cell_angle_alpha 90.00
_cell_angle_beta 90.00
_cell_angle_gamma 90.00
loop_
_atom_site_label
_atom_site_type_symbol
_atom_site_fract_x
_atom_site_fract_y
_atom_site_fract_z
Li1 Li 0.5000 0.0000 0.0000
Li2 Li 0.0000 0.5000 0.0000
Tl1 Tl 0.5000 0.5000 0.5000
Cr1 Cr 0.0000 0.0000 0.5000
# formation enthalpy at 0 K = 0.25 eV per atom
# Fermi-level density of states = 2.44 states/eV per cell

---

[6]
# ZnAg2Sb | Alexandria via LeMat-Bulk | GGA-PBEsol | relaxed
data_ZnAg2Sb
_chemical_formula_sum 'Zn1 Ag2 Sb1'
_space_group_name_H-M_alt 'P 1'
_space_group_IT_number 1
_space_group_name_Hall 'P 1'
_cell_length_a 3.0980
_cell_length_b 4.5708
_cell_length_c 5.7195
_cell_angle_alpha 90.00
_cell_angle_beta 106.06
_cell_angle_gamma 90.00
loop_
_atom_site_label
_atom_site_type_symbol
_atom_site_fract_x
_atom_site_fract_y
_atom_site_fract_z
Ag1 Ag 0.5962 0.5000 0.8194
Ag2 Ag 0.1693 0.0000 0.9620
Zn1 Zn 0.2992 0.5000 0.2194
Sb1 Sb 0.4353 0.0000 0.4992
# formation energy (no corrections) = 0.08 eV/atom
# Fermi-level density of states = 1.07 states/eV per cell

---

[7]
# Mg2InSb | Alexandria via LeMat-Bulk | GGA-PBEsol | relaxed
data_Mg2InSb
_chemical_formula_sum 'Mg2 In1 Sb1'
_space_group_name_H-M_alt 'P 1'
_space_group_IT_number 1
_space_group_name_Hall 'P 1'
_cell_length_a 4.1151
_cell_length_b 4.6382
_cell_length_c 4.8937
_cell_angle_alpha 90.00
_cell_angle_beta 90.00
_cell_angle_gamma 90.00
loop_
_atom_site_label
_atom_site_type_symbol
_atom_site_fract_x
_atom_site_fract_y
_atom_site_fract_z
In1 In 0.5000 0.0000 0.5000
Sb1 Sb 0.5000 0.5000 0.0000
Mg1 Mg 0.0000 0.5000 0.5000
Mg2 Mg 0.0000 0.0000 0.0000
# formation energy (no corrections) = -0.17 eV/atom
# Fermi-level density of states = 1.48 states/eV per cell

---

[8]
# BaBeP2 | Alexandria via LeMat-Bulk | GGA-PBEsol | relaxed
data_BaBeP2
_chemical_formula_sum 'Ba1 Be1 P2'
_space_group_name_H-M_alt 'P 1'
_space_group_IT_number 1
_space_group_name_Hall 'P 1'
_cell_length_a 4.8325
_cell_length_b 4.8325
_cell_length_c 4.8325
_cell_angle_alpha 86.19
_cell_angle_beta 62.18
_cell_angle_gamma 117.82
loop_
_atom_site_label
_atom_site_type_symbol
_atom_site_fract_x
_atom_site_fract_y
_atom_site_fract_z
Be1 Be 0.0000 0.0000 0.0000
P1 P 0.5000 0.7500 0.7500
P2 P 0.5000 0.2500 0.2500
Ba1 Ba 0.0000 0.5000 0.5000
# formation enthalpy at 0 K = 0.35 eV per atom
# Fermi-level density of states = 2.64 states/eV per cell

---

[9]
# LiZn4In | Alexandria via LeMat-Bulk | GGA-PBEsol | relaxed
data_LiZn4In
_chemical_formula_sum 'Li1 Zn4 In1'
_space_group_name_H-M_alt 'P 1'
_space_group_IT_number 1
_space_group_name_Hall 'P 1'
_cell_length_a 5.1541
_cell_length_b 5.1541
_cell_length_c 5.1541
_cell_angle_alpha 60.00
_cell_angle_beta 60.00
_cell_angle_gamma 60.00
loop_
_atom_site_label
_atom_site_type_symbol
_atom_site_fract_x
_atom_site_fract_y
_atom_site_fract_z
In1 In 0.7500 0.7500 0.7500
Zn1 Zn 0.8782 0.3739 0.3739
Zn2 Zn 0.3739 0.3739 0.3739
Zn3 Zn 0.3739 0.3739 0.8782
Zn4 Zn 0.3739 0.8782 0.3739
Li1 Li 0.0000 0.0000 0.0000
# formation enthalpy at 0 K = -0.09 eV per atom
# Fermi-level density of states = 1.29 states/eV per cell

---

[10]
# KLaY | Alexandria via LeMat-Bulk | GGA-PBEsol | relaxed
data_KLaY
_chemical_formula_sum 'K1 La1 Y1'
_space_group_name_H-M_alt 'P 1'
_space_group_IT_number 1
_space_group_name_Hall 'P 1'
_cell_length_a 5.8309
_cell_length_b 5.8309
_cell_length_c 5.8309
_cell_angle_alpha 60.00
_cell_angle_beta 60.00
_cell_angle_gamma 60.00
loop_
_atom_site_label
_atom_site_type_symbol
_atom_site_fract_x
_atom_site_fract_y
_atom_site_fract_z
K1 K 0.0000 0.0000 0.0000
La1 La 0.5000 0.5000 0.5000
Y1 Y 0.2500 0.2500 0.2500
# formation enthalpy at 0 K = 1.16 eV per atom
# Fermi-level density of states = 6.71 states/eV per cell

---

[11]
# NaBAs3 | Alexandria via LeMat-Bulk | GGA-PBEsol | relaxed
data_NaBAs3
_chemical_formula_sum 'Na1 B1 As3'
_space_group_name_H-M_alt 'P 1'
_space_group_IT_number 1
_space_group_name_Hall 'P 1'
_cell_length_a 4.4823
_cell_length_b 4.4823
_cell_length_c 4.4823
_cell_angle_alpha 90.00
_cell_angle_beta 90.00
_cell_angle_gamma 90.00
loop_
_atom_site_label
_atom_site_type_symbol
_atom_site_fract_x
_atom_site_fract_y
_atom_site_fract_z
Na1 Na 0.5000 0.5000 0.5000
As1 As 0.0000 0.5000 0.0000
As2 As 0.0000 0.0000 0.5000
As3 As 0.5000 0.0000 0.0000
B1 B 0.0000 0.0000 0.0000
# formation enthalpy at 0 K = 0.54 eV per atom
# Fermi-level density of states = 2.20 states/eV per cell